{
  "formula": "PmPrCr2O8",
  "functional": "PBE with a Hubbard U",
  "state": "relaxed",
  "total_energy_ha_per_atom": -0.28078,
  "magmom_total_mub_per_fu": 2.00,
  "cell": [[-0.4299, 3.1089, 5.3065], [-5.1823, -0.6779, -3.2701], [1.7870, -5.6997, 1.5263]],
  "species": ["Pm", "Pr", "Cr", "Cr", "O", "O", "O", "O", "O", "O", "O", "O"],
  "fractional_positions": [[0.0000, 0.0000, 0.0000], [0.2500, 0.7500, 0.5000], [0.7500, 0.2500, 0.5000], [0.5000, 0.5000, 0.0000], [0.4011, 0.0829, 0.3183], [0.3297, 0.5087, 0.1790], [0.3297, 0.1508, 0.8210], [0.7646, 0.0829, 0.6817], [0.8492, 0.6703, 0.1790], [0.9171, 0.2354, 0.3183], [0.9171, 0.5989, 0.6817], [0.4913, 0.6703, 0.8210]]
}